DFT (PBE) results for crystalline Ba2TlH at its relaxed geometry.

Cell lengths 5.8234, 5.8234, 5.8234 Å; angles 60.00, 60.00, 60.00 degrees
Closest atoms and distances in Å follow each position.
Positions (direct):
H 0.0000 0.0000 0.0000  8 Ba 3.57
Ba 0.7500 0.7500 0.7500  4 H 3.57, 4 Tl 3.57
Ba 0.2500 0.2500 0.2500  4 Tl 3.57, 4 H 3.57
Tl 0.5000 0.5000 0.5000  8 Ba 3.57

Properties
Symmetry: No. 225
Total energy: -9.690 eV for the cell shown
Magnetic moment: 0.00 μB/cell
Energy above the most stable polymorph in this dataset: 353.0 meV/atom